1.
Material: Dy3HoSb
Method: DFT, PBE
State: relaxed

**Calculated total energy**: -4.857 eV per atom
**Formation energy without anion corrections**: -0.36 eV per atom
**DOS(E_F)**: 27.06 states/eV per cell
**Density**: 8.5 g/cm3

Unit cell a=10.6231 b=3.9391 c=14.5142 alpha=90.00 beta=90.00 gamma=90.00
With the nearest neighbours (Å) after each atom.
Space group Pnma (No. 62)
Unique sites:
Dy: 0.0856 0.2500 0.0747 x4  3 Sb 3.13-3.17, 5 Dy 3.37-3.45
Dy: 0.1134 0.7500 0.2664 x4  2 Sb 3.05-3.19, 2 Dy 3.36
Dy: 0.1328 0.7500 0.6812 x4  2 Sb 3.28, 5 Dy 3.36-3.56
Ho: 0.1654 0.2500 0.4690 x4  2 Sb 3.31, 6 Dy 3.58-3.67
Sb: 0.1310 0.2500 0.8618 x4  7 Dy 3.05-3.28, 2 Ho 3.31

=====

2.
Material: Tm6CdIn6
Method: DFT, PBE
State: relaxed

**Energy of formation**: -255 meV per atom
**Calculated total energy**: -3.653 eV per atom
**DOS(E_F)**: 9.53 states/eV per cell
**Density**: 8.5 g/cm3

Unit cell a=6.2670 b=6.2670 c=10.4329 alpha=90.00 beta=90.00 gamma=120.00
With the nearest neighbours (Å) after each atom.
Space group P6/mmm (No. 191)
Unique sites:
Tm: 0.0000 0.0000 0.1768 x2  6 In 3.23, 1 Cd 3.37
Tm: 0.3333 0.6667 0.0000 x2  6 In 3.18
Tm: 0.3333 0.6667 0.5000 x2  6 In 3.17
Cd: 0.0000 0.0000 0.5000 x1  8 Tm 3.37-3.62
In: 0.0000 0.5000 0.2505 x6  4 In 3.13, 6 Tm 3.17-3.23

=====

Which formula does entry 2 have?
Tm6CdIn6